Material: Er4W6O19
Method: DFT, GGA+U
State: relaxed

a = 7.841 Å, b = 7.841 Å, c = 7.841 Å
α = 109.47°, β = 109.47°, γ = 109.47°
Sites, in units of the cell vectors:
W  0.500  0.857  0.357
W  0.857  0.357  0.500
W  0.643  0.500  0.143
W  0.500  0.143  0.643
W  0.143  0.643  0.500
W  0.357  0.500  0.857
O  0.239  0.954  0.623
O  0.331  0.616  0.377
O  0.000  0.685  0.685
O  0.685  0.685  0.000
O  0.046  0.284  0.669
O  0.716  0.761  0.384
O  0.685  0.000  0.685
O  0.284  0.669  0.046
O  0.000  0.000  0.000
O  0.315  0.315  0.000
O  0.954  0.623  0.239
O  0.315  0.000  0.315
O  0.616  0.377  0.331
O  0.623  0.239  0.954
O  0.377  0.331  0.616
O  0.761  0.384  0.716
O  0.000  0.315  0.315
O  0.384  0.716  0.761
O  0.669  0.046  0.284
Er  0.000  0.714  0.000
Er  0.286  0.286  0.286
Er  0.000  0.000  0.714
Er  0.714  0.000  0.000

Summary:
M_tot   4.00 μB/f.u.
Space-group type   I23
Total energy   -225.388 eV/cell